Entry 1:
Compound: TcHg2Rh
Source: the Alexandria database
Functional: GGA-PBE
Structure: optimized geometry

Its symmetry is Cm. Its energy of formation from the pure elements is 0.4403 eV per atom. As for the polymorph energy (0 for the lowest one): 254 meV/atom.

Cell: 4.8959 4.8959 5.2470 Å, 98.31 98.31 34.52°
Atoms (fractional coordinates):
Tc 0.0000 0.0000 0.0000
Hg 0.2482 0.2482 0.7260
Hg 0.4871 0.4871 0.4653
Rh 0.7330 0.7330 0.1866



Entry 2:
Compound: CaMgSe2
Source: the Alexandria database
Functional: GGA-PBE
Structure: optimized geometry

Its symmetry is C2/m. The uncorrected formation energy comes out at -4.861 eV/f.u.

Cell: 5.4431 5.4431 3.9542 Å, 109.24 109.24 87.01°
Atoms (fractional coordinates):
Ca 0.0000 0.0000 0.0000
Mg 0.5000 0.5000 0.0000
Se 0.0000 0.5000 0.5000
Se 0.5000 0.0000 0.5000



Entry 3:
Compound: CoSbPb2
Source: the Alexandria database
Functional: GGA-PBE
Structure: optimized geometry

Its symmetry is Immm. The uncorrected formation energy comes out at 0.739 eV/f.u. As for the polymorph energy (0 for the lowest one): 54 meV/atom.

Cell: 7.9815 7.9815 7.9815 Å, 155.89 150.92 38.12°
Atoms (fractional coordinates):
Co 0.0000 0.0000 0.0000
Sb 0.5000 0.5000 0.0000
Pb 0.1651 0.6651 0.5000
Pb 0.8349 0.3349 0.5000



Entry 4:
Compound: NaOs2SCl
Source: the Alexandria database
Functional: GGA-PBE
Structure: optimized geometry

Its symmetry is P4/mmm. The uncorrected formation energy comes out at 7.377 eV/f.u.

Cell: 4.3585 4.3585 5.0253 Å, 90.00 90.00 90.00°
Atoms (fractional coordinates):
Na 0.0000 0.0000 0.0000
Os 0.0000 0.5000 0.5000
Os 0.5000 0.0000 0.5000
S 0.5000 0.5000 0.0000
Cl 0.0000 0.0000 0.5000



Entry 5:
Compound: Cs2CaSiF6
Source: the Alexandria database
Functional: GGA-PBE
Structure: optimized geometry

Its symmetry is Fm-3m. The uncorrected formation energy comes out at -28.222 eV/f.u.

Cell: 6.4090 6.4090 6.4090 Å, 60.00 60.00 60.00°
Atoms (fractional coordinates):
Cs 0.2500 0.2500 0.2500
Cs 0.7500 0.7500 0.7500
Ca 0.0000 0.0000 0.0000
Si 0.5000 0.5000 0.5000
F 0.2533 0.2533 0.7467
F 0.2533 0.7467 0.2533
F 0.2533 0.7467 0.7467
F 0.7467 0.2533 0.2533
F 0.7467 0.2533 0.7467
F 0.7467 0.7467 0.2533



Entry 6:
Compound: YCdNi
Source: the Alexandria database
Functional: GGA-PBE
Structure: optimized geometry

Its symmetry is I4mm. Its energy of formation from the pure elements is -0.2380 eV per atom.

Cell: 5.6357 5.6357 5.6357 Å, 144.21 144.21 51.51°
Atoms (fractional coordinates):
Y 0.0000 0.0000 0.0000
Cd 0.7059 0.7059 0.0000
Ni 0.3503 0.3503 0.0000



Entry 7:
Compound: Na3U2PaTe6
Source: the Alexandria database
Functional: GGA-PBE
Structure: optimized geometry

Its symmetry is C2/m. The uncorrected formation energy comes out at -9.680 eV/f.u.

Cell: 7.5387 7.5387 8.1760 Å, 98.84 98.84 120.00°
Atoms (fractional coordinates):
Na 0.0000 0.0000 0.0000
Na 0.3324 0.6676 0.0000
Na 0.6676 0.3324 0.0000
U 0.1667 0.8333 0.5000
U 0.8333 0.1667 0.5000
Pa 0.5000 0.5000 0.5000
Te 0.0889 0.4203 0.2611
Te 0.2482 0.2482 0.7390
Te 0.4203 0.0889 0.2611
Te 0.5797 0.9111 0.7389
Te 0.7518 0.7518 0.2610
Te 0.9111 0.5797 0.7389



Entry 8:
Compound: MgSiOs
Source: the Alexandria database
Functional: GGA-PBE
Structure: optimized geometry

Its symmetry is Fmm2. The uncorrected formation energy comes out at 0.567 eV/f.u.

Cell: 6.7768 6.5318 2.8520 Å, 82.48 72.86 24.66°
Atoms (fractional coordinates):
Mg 0.0000 0.0000 0.0000
Si 0.3163 0.3163 0.6837
Os 0.6760 0.6760 0.3240



Entry 9:
Compound: CuRe2W
Source: the Alexandria database
Functional: GGA-PBE
Structure: optimized geometry

Its symmetry is Cmmm. Its energy of formation from the pure elements is 0.2555 eV per atom.

Cell: 2.6817 2.6817 8.7128 Å, 90.00 90.00 108.39°
Atoms (fractional coordinates):
Cu 0.0000 0.0000 0.0000
Re 0.5000 0.5000 0.2462
Re 0.5000 0.5000 0.7538
W 0.0000 0.0000 0.5000



Entry 10:
Compound: Y2HoTh3S6
Source: the Alexandria database
Functional: GGA-PBE
Structure: optimized geometry

Its symmetry is C2/m. The uncorrected formation energy comes out at -22.824 eV/f.u.

Cell: 6.7374 6.7374 7.1146 Å, 99.05 99.05 119.67°
Atoms (fractional coordinates):
Y 0.1665 0.8335 0.0000
Y 0.8335 0.1665 0.0000
Ho 0.5000 0.5000 0.0000
Th 0.0000 0.0000 0.5000
Th 0.3325 0.6675 0.5000
Th 0.6675 0.3325 0.5000
S 0.0909 0.4224 0.7671
S 0.2466 0.2466 0.2340
S 0.4224 0.0909 0.7671
S 0.5776 0.9091 0.2329
S 0.7534 0.7534 0.7660
S 0.9091 0.5776 0.2329



Entry 11:
Compound: Cr2HIrPt
Source: the Alexandria database
Functional: GGA-PBE
Structure: optimized geometry

Its symmetry is P4/mmm. As for the polymorph energy (0 for the lowest one): 0 meV/atom.

Cell: 3.8226 3.8226 3.8253 Å, 90.00 90.00 90.00°
Atoms (fractional coordinates):
Cr 0.0000 0.5000 0.0000
Cr 0.5000 0.0000 0.0000
H 0.0000 0.0000 0.0000
Ir 0.0000 0.0000 0.5000
Pt 0.5000 0.5000 0.5000



Entry 12:
Compound: Ac4AlSn3
Source: the Alexandria database
Functional: GGA-PBE
Structure: optimized geometry

Its symmetry is Pmm2. Its energy of formation from the pure elements is -0.6243 eV per atom.

Cell: 4.5259 4.9838 12.3616 Å, 90.00 90.00 90.00°
Atoms (fractional coordinates):
Ac 0.0000 0.0000 0.0000
Ac 0.0000 0.5000 0.4918
Ac 0.5000 0.0000 0.7150
Ac 0.5000 0.5000 0.2162
Al 0.0000 0.0000 0.2816
Sn 0.0000 0.5000 0.7716
Sn 0.5000 0.0000 0.4271
Sn 0.5000 0.5000 0.9361



Volume values (in A^3/atom) by entry order: 17.6 26.1 25.2 19.1 18.6 20.3 31.9 15.8 14.9 22.2 11.2 34.9.
Ρ values (in Mg/m³) by entry order: 14.19 3.54 9.81 8.19 4.00 7.09 6.69 8.52 17.31 7.67 14.63 7.69.